Entry 1:
Tc2PbCl | PBE | relaxed

a b c (Å): 4.4685 4.4685 5.8249
angles (deg): 78.38 78.38 39.33
Positions (direct):
Tc 0.9983 0.9983 0.0639
Tc 0.5017 0.5017 0.4361
Cl 0.2500 0.2500 0.2500
Pb 0.7500 0.7500 0.7500

Output
E_tot   -0.2144 Ha/atom
Raw formation energy   0.74 eV per atom
Energy relative to the lowest polymorph listed for this composition   2.77 eV/f.u.



Entry 2:
Tc2PbCl | PBE | relaxed

a b c (Å): 6.1282 6.1282 6.1282
angles (deg): 147.63 131.28 59.71
Positions (direct):
Tc 0.7650 0.2650 0.5000
Tc 0.9116 0.9116 0.0000
Cl 0.5565 0.5565 0.0000
Pb 0.2669 0.7669 0.5000

Output
E_tot   -0.2189 Ha/atom
Raw formation energy   0.61 eV per atom
Energy relative to the lowest polymorph listed for this composition   2.28 eV/f.u.



Entry 3:
Tc2PbCl | PBE | relaxed

a b c (Å): 10.4350 10.4350 10.4350
angles (deg): 16.70 16.70 16.70
Positions (direct):
Tc 0.9845 0.9845 0.9845
Tc 0.2534 0.2534 0.2534
Cl 0.5278 0.5278 0.5278
Pb 0.7343 0.7343 0.7343

Output
E_tot   -0.2327 Ha/atom
Raw formation energy   0.24 eV per atom
Energy relative to the lowest polymorph listed for this composition   0.79 eV/f.u.



Entry 4:
TcPb3Cl | PBE | relaxed

a b c (Å): 5.4391 5.4391 5.4391
angles (deg): 90.00 90.00 90.00
Positions (direct):
Tc 0.5000 0.5000 0.5000
Pb 0.5000 0.0000 0.0000
Pb 0.0000 0.0000 0.5000
Pb 0.0000 0.5000 0.0000
Cl 0.0000 0.0000 0.0000

Output
E_tot   -0.1348 Ha/atom
Raw formation energy   1.00 eV per atom
Energy relative to the lowest polymorph listed for this composition   5.50 eV/f.u.



Entry 5:
TcPbCl | PBE | relaxed

a b c (Å): 4.6092 4.6092 3.2932
angles (deg): 90.00 90.00 120.00
Positions (direct):
Tc 0.6667 0.3333 0.8333
Cl 0.0000 0.0000 0.8333
Pb 0.3333 0.6667 0.3334

Output
E_tot   -0.1770 Ha/atom
Raw formation energy   0.49 eV per atom
Energy relative to the lowest polymorph listed for this composition   0.84 eV/f.u.



Entry 6:
Tc2PbCl | PBE | relaxed

a b c (Å): 3.0503 3.1289 8.9284
angles (deg): 80.20 90.00 90.00
Positions (direct):
Cl 0.0000 0.3519 0.4303
Tc 0.0000 0.0330 0.0578
Tc 0.5000 0.4582 0.2116
Pb 0.5000 0.6568 0.8003

Output
E_tot   -0.2399 Ha/atom
Raw formation energy   0.04 eV per atom
Energy relative to the lowest polymorph listed for this composition   0.00 eV/f.u.